ErGePd: relaxed, GGA-PBE.

Formation energy from the elements in eV/atom: -0.91
Density in g/cm3: 9.83

Cell lengths 10.4277, 4.3275, 6.9828 Å; angles 90.00, 132.03, 90.00 degrees
Last column: nearest neighbours and their distance in Å.
Space group C2/m (No. 12)
One atom of each set of equivalent atoms:
Er 0.0483 0.0000 0.3084 x4  6 Pd 3.04-3.24, 6 Ge 3.04-3.28
Ge 0.1582 0.5000 0.1002 x4  3 Pd 2.52-2.75, 1 Ge 2.58
Pd 0.1761 0.5000 0.7255 x4  3 Ge 2.52-2.75, 1 Pd 2.81

Er4Ge8Pd: relaxed, GGA-PBE.

Formation energy from the elements in eV/atom: -0.63
Density in g/cm3: 8.46

Cell lengths 3.9662, 4.0635, 16.5146 Å; angles 90.00, 90.00, 90.00 degrees
Last column: nearest neighbours and their distance in Å.
Space group Pmm2 (No. 25)
One atom of each set of equivalent atoms:
Er 0.0000 0.0000 0.0000 x1  10 Ge 2.93-3.09
Er 0.0000 0.5000 0.4807 x1  10 Ge 2.98-3.28
Er 0.5000 0.0000 0.7895 x1  4 Ge 3.06, 4 Pd 3.12
Er 0.5000 0.5000 0.2792 x1  10 Ge 2.94-3.17
Ge 0.0000 0.0000 0.3245 x1  2 Ge 2.60
Ge 0.0000 0.0000 0.6166 x1  2 Pd 2.56, 4 Ge 2.84
Ge 0.0000 0.5000 0.1365 x1  4 Ge 2.84, 4 Er 3.04-3.08
Ge 0.0000 0.5000 0.8587 x1  1 Pd 2.44, 2 Ge 2.56
Ge 0.5000 0.0000 0.1429 x1  4 Ge 2.84, 4 Er 3.03-3.08
Ge 0.5000 0.0000 0.4264 x1  2 Ge 2.60
Ge 0.5000 0.5000 0.6153 x1  2 Pd 2.54, 4 Ge 2.84
Ge 0.5000 0.5000 0.9570 x1  2 Ge 2.56
Pd 0.0000 0.5000 0.7110 x1  5 Ge 2.44-2.56

Er2Ge2Pd3: relaxed, GGA-PBE.

Formation energy from the elements in eV/atom: -0.89
Density in g/cm3: 10.15

Cell lengths 10.2738, 3.9428, 7.0099 Å; angles 90.00, 112.98, 90.00 degrees
Last column: nearest neighbours and their distance in Å.
Space group C2/m (No. 12)
One atom of each set of equivalent atoms:
Er 0.1271 0.0000 0.2636 x4  4 Ge 2.92-3.05, 6 Pd 3.01-3.17
Ge 0.1580 0.0000 0.7138 x4  5 Pd 2.61-2.63, 2 Er 2.92
Pd 0.0000 0.5000 0.5000 x2  4 Ge 2.62, 2 Pd 2.82
Pd 0.1215 0.5000 0.9363 x4  3 Ge 2.61-2.63, 1 Pd 2.82

ErGe2Pd3: relaxed, GGA-PBE.

Formation energy from the elements in eV/atom: -0.77
Density in g/cm3: 9.86

Cell lengths 16.8031, 4.0149, 9.9703 Å; angles 90.00, 108.37, 90.00 degrees
Last column: nearest neighbours and their distance in Å.
Space group C2/m (No. 12)
One atom of each set of equivalent atoms:
Er 0.0000 0.0000 0.0000 x2  6 Pd 3.02-3.14, 6 Ge 3.16-3.17
Er 0.1534 0.0000 0.6947 x4  6 Ge 3.07-3.25, 7 Pd 3.18-3.36
Ge 0.0417 0.5000 0.7847 x4  5 Pd 2.46-2.73
Ge 0.1371 0.5000 0.4550 x4  7 Pd 2.43-2.64
Ge 0.1975 0.0000 0.1317 x4  6 Pd 2.49-2.60
Pd 0.0000 0.5000 0.5000 x2  4 Ge 2.48-2.70
Pd 0.0396 0.0000 0.3296 x4  4 Ge 2.49-2.64
Pd 0.1159 0.5000 0.1919 x4  4 Ge 2.53-2.73, 1 Pd 2.83
Pd 0.1817 0.5000 0.9634 x4  4 Ge 2.46-2.58
Pd 0.2185 0.0000 0.3907 x4  4 Ge 2.43-2.62

Er2Ge3Pd9: relaxed, GGA-PBE.

Formation energy from the elements in eV/atom: -0.74
Density in g/cm3: 10.67

Cell lengths 13.4090, 7.7672, 10.0500 Å; angles 90.00, 116.11, 90.00 degrees
Last column: nearest neighbours and their distance in Å.
Space group C2/c (No. 15)
One atom of each set of equivalent atoms:
Er 0.1700 0.0853 0.2503 x8  11 Pd 2.96-3.22
Ge 0.0861 0.2382 0.4991 x8  7 Pd 2.46-2.73
Ge 0.2500 0.2500 0.0000 x4  8 Pd 2.47-2.73
Pd 0.0000 0.3683 0.2500 x4  2 Ge 2.47
Pd 0.0573 0.0736 0.9206 x8  3 Ge 2.52-2.72, 2 Pd 2.81-2.82
Pd 0.1058 0.4104 0.0564 x8  3 Ge 2.56-2.78, 1 Pd 2.87
Pd 0.1065 0.3145 0.7475 x8  2 Ge 2.46-2.47
Pd 0.2278 0.4109 0.4217 x8  3 Ge 2.54-2.73, 2 Pd 2.78-2.79

ErGe2Pd: relaxed, GGA-PBE.

Formation energy from the elements in eV/atom: -0.67
Density in g/cm3: 9.13

Cell lengths 7.9739, 6.5318, 5.8532 Å; angles 90.00, 90.00, 90.00 degrees
Last column: nearest neighbours and their distance in Å.
Space group Pnma (No. 62)
One atom of each set of equivalent atoms:
Er 0.0225 0.2500 0.1458 x4  6 Ge 2.88-3.16, 2 Pd 2.97-3.02
Ge 0.2111 0.0453 0.5997 x8  3 Pd 2.55-2.71, 1 Ge 2.67
Pd 0.0584 0.7500 0.3493 x4  6 Ge 2.55-2.71

ErGePd: relaxed, GGA-PBE.

Formation energy from the elements in eV/atom: -0.86
Density in g/cm3: 9.38

Cell lengths 4.0153, 8.8642, 6.8930 Å; angles 90.00, 90.00, 90.00 degrees
Last column: nearest neighbours and their distance in Å.
Space group Pmc2_1 (No. 26)
One atom of each set of equivalent atoms:
Er 0.0000 0.0861 0.0000 x2  6 Pd 2.95-3.23, 4 Ge 2.98
Er 0.0000 0.3563 0.5760 x2  6 Ge 3.01-3.03, 4 Pd 3.23-3.24
Ge 0.5000 0.1176 0.6824 x2  3 Pd 2.58-2.60
Ge 0.5000 0.4344 0.2672 x2  3 Pd 2.43-2.47
Pd 0.5000 0.1584 0.3115 x2  3 Ge 2.47-2.60
Pd 0.5000 0.3255 0.9435 x2  3 Ge 2.43-2.58

ErGe2Pd: relaxed, GGA-PBE.

Formation energy from the elements in eV/atom: -0.59
Density in g/cm3: 9.37

Cell lengths 4.2333, 4.2333, 4.1445 Å; angles 90.00, 90.00, 90.00 degrees
Last column: nearest neighbours and their distance in Å.
Space group P4/mmm (No. 123)
One atom of each set of equivalent atoms:
Er 0.0000 0.0000 0.0000 x1  8 Ge 2.96, 4 Pd 2.99
Ge 0.0000 0.5000 0.5000 x2  4 Er 2.96, 4 Pd 2.96, 4 Ge 2.99
Pd 0.5000 0.5000 0.0000 x1  8 Ge 2.96, 4 Er 2.99

Er3Ge2Pd7: relaxed, GGA-PBE.

Formation energy from the elements in eV/atom: -0.83
Density in g/cm3: 10.45

Cell lengths 4.0186, 4.0186, 27.4056 Å; angles 90.00, 90.00, 90.00 degrees
Last column: nearest neighbours and their distance in Å.
Space group I4/mmm (No. 139)
One atom of each set of equivalent atoms:
Er 0.0000 0.0000 0.0000 x2  12 Pd 2.84-2.94
Er 0.0000 0.0000 0.1742 x4  5 Pd 2.82-3.14, 4 Ge 3.07
Ge 0.0000 0.0000 0.3682 x4  5 Pd 2.49-2.50
Pd 0.0000 0.0000 0.2771 x4  1 Ge 2.50
Pd 0.0000 0.0000 0.5000 x2  4 Er 2.84, 8 Pd 2.94
Pd 0.0000 0.5000 0.0781 x8  2 Ge 2.49

ErGe4Pd6: relaxed, GGA-PBE.

Formation energy from the elements in eV/atom: -0.66
Density in g/cm3: 9.94

Cell lengths 7.4039, 7.4039, 3.8581 Å; angles 90.00, 90.00, 120.00 degrees
Last column: nearest neighbours and their distance in Å.
Space group P-6m2 (No. 187)
One atom of each set of equivalent atoms:
Er 0.0000 0.0000 0.0000 x1  6 Ge 3.10, 6 Pd 3.18
Ge 0.1891 0.3783 0.5000 x3  6 Pd 2.48-2.62
Ge 0.6667 0.3333 0.0000 x1  9 Pd 2.59-2.60
Pd 0.0708 0.5354 0.0000 x3  5 Ge 2.59-2.62
Pd 0.3947 0.1973 0.5000 x3  4 Ge 2.48-2.60

Pm2ErGe4Pd3: relaxed, GGA-PBE.

Formation energy from the elements in eV/atom: -0.80
Density in g/cm3: 8.52

Cell lengths 4.2697, 4.2697, 11.4053 Å; angles 90.00, 90.00, 90.00 degrees
Last column: nearest neighbours and their distance in Å.
Space group P-4m2 (No. 115)
One atom of each set of equivalent atoms:
Pm 0.0000 0.5000 0.2300 x2  8 Ge 3.26-3.38, 4 Pd 3.27
Er 0.0000 0.0000 0.5000 x1  4 Ge 2.83, 4 Pd 3.02
Ge 0.0000 0.0000 0.0000 x1  4 Pd 2.54
Ge 0.0000 0.5000 0.6627 x2  1 Pd 2.47
Ge 0.5000 0.5000 0.0000 x1  4 Pd 2.54
Pd 0.0000 0.5000 0.8796 x2  5 Ge 2.47-2.54
Pd 0.5000 0.5000 0.5000 x1  4 Ge 2.83, 4 Er 3.02

Pm2ErGe3Pd4: relaxed, GGA-PBE.

Formation energy from the elements in eV/atom: -0.85
Density in g/cm3: 8.92

Cell lengths 4.2685, 4.2685, 11.2499 Å; angles 90.00, 90.00, 90.00 degrees
Last column: nearest neighbours and their distance in Å.
Space group P-4m2 (No. 115)
One atom of each set of equivalent atoms:
Pm 0.0000 0.5000 0.2205 x2  4 Ge 3.21, 8 Pd 3.27-3.32
Er 0.0000 0.0000 0.5000 x1  4 Pd 2.76, 4 Ge 3.02
Ge 0.0000 0.5000 0.8760 x2  5 Pd 2.48-2.55
Ge 0.5000 0.5000 0.5000 x1  4 Pd 2.76, 4 Er 3.02
Pd 0.0000 0.0000 0.0000 x1  4 Ge 2.55
Pd 0.0000 0.5000 0.6559 x2  3 Ge 2.48-2.76, 2 Er 2.76
Pd 0.5000 0.5000 0.0000 x1  4 Ge 2.55

Pr2ErGe3Pd4: relaxed, GGA-PBE.

Formation energy from the elements in eV/atom: -0.85
Density in g/cm3: 8.73

Cell lengths 4.3120, 4.3120, 11.1830 Å; angles 90.00, 90.00, 90.00 degrees
Last column: nearest neighbours and their distance in Å.
Space group P-4m2 (No. 115)
One atom of each set of equivalent atoms:
Pr 0.0000 0.5000 0.2230 x2  4 Ge 3.25, 8 Pd 3.30-3.34
Er 0.0000 0.0000 0.5000 x1  4 Pd 2.76, 4 Ge 3.05
Ge 0.0000 0.5000 0.8776 x2  5 Pd 2.49-2.55
Ge 0.5000 0.5000 0.5000 x1  4 Pd 2.76, 4 Er 3.05
Pd 0.0000 0.0000 0.0000 x1  4 Ge 2.55
Pd 0.0000 0.5000 0.6547 x2  3 Ge 2.49-2.76, 2 Er 2.76
Pd 0.5000 0.5000 0.0000 x1  4 Ge 2.55

PrErGePd: relaxed, GGA-PBE.

Formation energy from the elements in eV/atom: -0.74
Density in g/cm3: 8.62

Cell lengths 7.2136, 7.2136, 7.2136 Å; angles 90.00, 90.00, 90.00 degrees
Last column: nearest neighbours and their distance in Å.
Space group F-43m (No. 216)
One atom of each set of equivalent atoms:
Pr 0.0000 0.0000 0.0000 x4  4 Ge 3.12, 4 Pd 3.12
Er 0.0000 0.0000 0.5000 x4  4 Ge 3.12, 4 Pd 3.12
Ge 0.2500 0.2500 0.2500 x4  4 Pr 3.12, 4 Er 3.12
Pd 0.2500 0.2500 0.7500 x4  4 Pr 3.12, 4 Er 3.12

PrErGe2Pd5: relaxed, GGA-PBE.

Formation energy from the elements in eV/atom: -0.77
Density in g/cm3: 9.77

Cell lengths 4.2848, 4.2848, 9.1210 Å; angles 90.00, 90.00, 90.00 degrees
Last column: nearest neighbours and their distance in Å.
Space group P4/mmm (No. 123)
One atom of each set of equivalent atoms:
Pr 0.0000 0.0000 0.0000 x1  12 Pd 3.01-3.03
Er 0.0000 0.0000 0.5000 x1  8 Pd 3.25, 8 Ge 3.27
Ge 0.5000 0.5000 0.3666 x2  1 Ge 2.43, 4 Pd 2.47
Pd 0.0000 0.5000 0.2316 x4  2 Ge 2.47
Pd 0.5000 0.5000 0.0000 x1  8 Pd 3.01, 4 Pr 3.03, 2 Ge 3.34

Er2Ge3PdPt4: relaxed, GGA-PBE.

Formation energy from the elements in eV/atom: -0.83
Density in g/cm3: 12.87

Cell lengths 4.0050, 4.0050, 11.5743 Å; angles 90.00, 90.00, 90.00 degrees
Last column: nearest neighbours and their distance in Å.
Space group P-4m2 (No. 115)
One atom of each set of equivalent atoms:
Er 0.0000 0.5000 0.2374 x2  4 Pt 2.97, 4 Ge 3.20
Ge 0.0000 0.0000 0.0000 x1  4 Pt 2.73, 4 Pd 2.83
Ge 0.0000 0.5000 0.6340 x2  5 Pt 2.38-2.53
Pd 0.5000 0.5000 0.0000 x1  4 Pt 2.73, 4 Ge 2.83
Pt 0.0000 0.0000 0.5000 x1  4 Ge 2.53, 4 Pt 2.83
Pt 0.0000 0.5000 0.8400 x2  1 Ge 2.38
Pt 0.5000 0.5000 0.5000 x1  4 Ge 2.53, 4 Pt 2.83

Er2Ge4PdPt3: relaxed, GGA-PBE.

Formation energy from the elements in eV/atom: -0.84
Density in g/cm3: 11.73

Cell lengths 4.2467, 4.2467, 10.3390 Å; angles 90.00, 90.00, 90.00 degrees
Last column: nearest neighbours and their distance in Å.
Space group P-4m2 (No. 115)
One atom of each set of equivalent atoms:
Er 0.0000 0.5000 0.2436 x2  8 Ge 3.21-3.40, 6 Pt 3.26-3.29, 2 Pd 3.29
Ge 0.0000 0.0000 0.5000 x1  4 Pt 2.53
Ge 0.0000 0.5000 0.8675 x2  3 Pt 2.42-2.53, 2 Pd 2.53
Ge 0.5000 0.5000 0.5000 x1  4 Pt 2.53
Pd 0.5000 0.5000 0.0000 x1  4 Ge 2.53
Pt 0.0000 0.0000 0.0000 x1  4 Ge 2.53
Pt 0.0000 0.5000 0.6335 x2  5 Ge 2.42-2.53

ErPuGePd: relaxed, GGA-PBE.

Formation energy from the elements in eV/atom: -0.57
Density in g/cm3: 11.04

Cell lengths 7.0814, 7.0814, 7.0814 Å; angles 90.00, 90.00, 90.00 degrees
Last column: nearest neighbours and their distance in Å.
Space group F-43m (No. 216)
One atom of each set of equivalent atoms:
Er 0.0000 0.0000 0.0000 x4  4 Ge 3.07, 4 Pd 3.07
Pu 0.0000 0.0000 0.5000 x4  4 Ge 3.07, 4 Pd 3.07
Ge 0.2500 0.2500 0.2500 x4  4 Er 3.07, 4 Pu 3.07
Pd 0.2500 0.2500 0.7500 x4  4 Er 3.07, 4 Pu 3.07

ErPu2Ge2Pd2: relaxed, GGA-PBE.

Formation energy from the elements in eV/atom: -0.41
Density in g/cm3: 12.80

Cell lengths 4.1964, 4.1964, 25.8506 Å; angles 90.00, 90.00, 120.00 degrees
Last column: nearest neighbours and their distance in Å.
Space group R-3m (No. 166, hexagonal axes)
One atom of each set of equivalent atoms:
Er 0.0000 0.0000 0.0000 x3  6 Ge 2.98
Pu 0.0000 0.0000 0.1538 x6  3 Pu 2.51
Ge 0.0000 0.0000 0.2665 x6  3 Pd 2.49
Pd 0.0000 0.0000 0.4222 x6  3 Ge 2.49

Er2Ge2PdRh5: relaxed, GGA-PBE.

Formation energy from the elements in eV/atom: -0.70
Density in g/cm3: 10.88

Cell lengths 9.6226, 9.6226, 3.6299 Å; angles 90.00, 90.00, 90.00 degrees
Last column: nearest neighbours and their distance in Å.
Space group P4/mbm (No. 127)
One atom of each set of equivalent atoms:
Er 0.1740 0.3260 0.0000 x4  3 Ge 2.72-2.92, 2 Rh 2.98
Ge 0.1259 0.6259 0.0000 x4  6 Rh 2.48-2.50, 1 Er 2.72
Pd 0.0000 0.0000 0.0000 x2  8 Rh 2.78
Rh 0.0000 0.5000 0.5000 x2  4 Ge 2.50
Rh 0.0678 0.7921 0.5000 x8  2 Ge 2.48, 2 Pd 2.78

ErGePdRh: relaxed, GGA-PBE.

Formation energy from the elements in eV/atom: -0.72
Density in g/cm3: 10.84

Cell lengths 6.5047, 6.5047, 6.5047 Å; angles 90.00, 90.00, 90.00 degrees
Last column: nearest neighbours and their distance in Å.
Space group F-43m (No. 216)
One atom of each set of equivalent atoms:
Er 0.0000 0.0000 0.0000 x4  4 Pd 2.82, 4 Rh 2.82
Ge 0.0000 0.0000 0.5000 x4  4 Rh 2.82, 4 Pd 2.82
Pd 0.2500 0.2500 0.2500 x4  4 Ge 2.82, 4 Er 2.82
Rh 0.2500 0.2500 0.7500 x4  4 Ge 2.82, 4 Er 2.82

ErGe2PdRh2: relaxed, GGA-PBE.

Formation energy from the elements in eV/atom: -0.16
Density in g/cm3: 8.91

Cell lengths 4.6068, 4.6068, 5.4856 Å; angles 90.00, 90.00, 90.00 degrees
Last column: nearest neighbours and their distance in Å.
Space group P4/mmm (No. 123)
One atom of each set of equivalent atoms:
Er 0.0000 0.0000 0.0000 x1  2 Pd 2.74
Ge 0.0000 0.5000 0.5000 x2  2 Pd 2.30
Pd 0.0000 0.0000 0.5000 x1  4 Ge 2.30
Rh 0.5000 0.5000 0.2421 x2  2 Rh 2.66-2.83, 4 Ge 2.70